{
  "formula": "Gd2Ni17",
  "functional": "GGA-PBE",
  "state": "relaxed",
  "energy_ev_per_atom": -5.67,
  "crystal_system": "hexagonal",
  "magmom_total_mub_per_fu": 6.75,
  "ef_ev_per_atom": -0.197,
  "volume_a3_per_fu": 238,
  "lattice": [[8.279, 0.000, 0.000], [-4.139, 7.170, 0.000], [0.000, 0.000, 8.009]],
  "species": ["Ni", "Ni", "Ni", "Ni", "Ni", "Ni", "Ni", "Ni", "Ni", "Ni", "Ni", "Ni", "Ni", "Ni", "Ni", "Ni", "Ni", "Ni", "Ni", "Ni", "Ni", "Ni", "Ni", "Ni", "Ni", "Ni", "Ni", "Ni", "Ni", "Ni", "Ni", "Ni", "Ni", "Ni", "Gd", "Gd", "Gd", "Gd"],
  "fractional_positions": [[0.668, 0.834, 0.520], [0.372, 0.328, 0.750], [0.166, 0.332, 0.520], [0.044, 0.372, 0.250], [0.834, 0.668, 0.020], [0.628, 0.672, 0.250], [0.956, 0.328, 0.750], [0.166, 0.834, 0.980], [0.328, 0.956, 0.250], [0.672, 0.044, 0.750], [0.667, 0.333, 0.898], [0.500, 0.000, 0.500], [0.956, 0.628, 0.750], [0.166, 0.834, 0.520], [0.500, 0.500, 0.000], [0.834, 0.668, 0.480], [0.166, 0.332, 0.980], [0.332, 0.166, 0.480], [0.333, 0.667, 0.102], [0.044, 0.672, 0.250], [0.500, 0.000, 0.000], [0.328, 0.372, 0.250], [0.332, 0.166, 0.020], [0.834, 0.166, 0.020], [0.333, 0.667, 0.398], [0.668, 0.834, 0.980], [0.000, 0.500, 0.000], [0.372, 0.044, 0.750], [0.500, 0.500, 0.500], [0.628, 0.956, 0.250], [0.000, 0.500, 0.500], [0.667, 0.333, 0.602], [0.834, 0.166, 0.480], [0.672, 0.628, 0.750], [0.000, 0.000, 0.250], [0.667, 0.333, 0.250], [0.333, 0.667, 0.750], [0.000, 0.000, 0.750]]
}

***

{
  "formula": "NaSm5Te6",
  "functional": "GGA-PBE",
  "state": "relaxed",
  "energy_ev_per_atom": -5.02,
  "crystal_system": "monoclinic",
  "magmom_total_mub_per_fu": 0.01,
  "volume_a3_per_fu": 374,
  "lattice": [[-2.697, 4.226, -5.832], [-1.720, 1.909, 7.249], [7.422, 2.161, -0.172]],
  "species": ["Sm", "Sm", "Sm", "Sm", "Sm", "Te", "Te", "Te", "Te", "Te", "Te", "Na"],
  "fractional_positions": [[0.500, 0.500, 0.500], [0.835, 0.165, 0.500], [0.335, 0.665, 0.000], [0.665, 0.335, 0.000], [0.165, 0.835, 0.500], [0.586, 0.917, 0.750], [0.083, 0.414, 0.250], [0.414, 0.083, 0.250], [0.248, 0.248, 0.754], [0.752, 0.752, 0.246], [0.917, 0.586, 0.750], [0.000, 0.000, 0.000]]
}

***

{
  "formula": "PmYTeO2",
  "functional": "GGA-PBE",
  "state": "relaxed",
  "energy_ev_per_atom": -7.77,
  "crystal_system": "tetragonal",
  "magmom_total_mub_per_fu": 0.00,
  "volume_a3_per_fu": 100,
  "lattice": [[-1.988, 1.988, 6.315], [1.988, -1.988, 6.315], [1.988, 1.988, -6.315]],
  "species": ["O", "O", "Te", "Y", "Pm"],
  "fractional_positions": [[0.747, 0.247, 0.500], [0.247, 0.747, 0.500], [0.001, 0.001, 0.000], [0.663, 0.663, 0.000], [0.341, 0.341, 0.000]]
}

***

{
  "formula": "ZrCuTcSb",
  "functional": "GGA-PBE",
  "state": "relaxed",
  "energy_ev_per_atom": -6.50,
  "crystal_system": "cubic",
  "magmom_total_mub_per_fu": 0.27,
  "e_above_lowest_polymorph_mev_per_atom": 282,
  "volume_a3_per_fu": 71,
  "lattice": [[-3.758, 0.323, 2.709], [-4.071, -1.690, -1.464], [-1.776, -3.811, 1.972]],
  "species": ["Tc", "Sb", "Zr", "Cu"],
  "fractional_positions": [[0.500, 0.500, 0.500], [0.000, 0.000, 0.000], [0.250, 0.250, 0.250], [0.750, 0.750, 0.750]]
}

***

{
  "formula": "Nb4AlPN2",
  "functional": "GGA-PBE",
  "state": "relaxed",
  "energy_ev_per_atom": -9.01,
  "crystal_system": "hexagonal",
  "magmom_total_mub_per_fu": 0.00,
  "volume_a3_per_fu": 110,
  "lattice": [[3.105, 0.000, 0.000], [-1.552, 2.689, 0.000], [0.000, 0.000, 13.223]],
  "species": ["N", "N", "Nb", "Nb", "Nb", "Nb", "Al", "P"],
  "fractional_positions": [[0.333, 0.667, 0.264], [0.333, 0.667, 0.736], [0.000, 0.000, 0.366], [0.667, 0.333, 0.167], [0.000, 0.000, 0.634], [0.667, 0.333, 0.833], [0.000, 0.000, 0.000], [0.667, 0.333, 0.500]]
}

***

{
  "formula": "Ba2SmTe3",
  "functional": "GGA-PBE",
  "state": "relaxed",
  "energy_ev_per_atom": -4.62,
  "crystal_system": "trigonal",
  "magmom_total_mub_per_fu": 0.02,
  "volume_a3_per_fu": 233,
  "lattice": [[4.744, 0.000, 0.000], [-2.372, 4.109, 0.000], [0.000, 0.000, 11.970]],
  "species": ["Ba", "Ba", "Te", "Te", "Te", "Sm"],
  "fractional_positions": [[0.667, 0.333, 0.823], [0.333, 0.667, 0.177], [0.333, 0.667, 0.641], [0.667, 0.333, 0.359], [0.000, 0.000, 0.000], [0.000, 0.000, 0.500]]
}

***

{
  "formula": "NiOs2Pd",
  "functional": "GGA-PBE",
  "state": "relaxed",
  "energy_ev_per_atom": -7.82,
  "crystal_system": "cubic",
  "magmom_total_mub_per_fu": 1.48,
  "ef_ev_per_atom": 0.479,
  "volume_a3_per_fu": 56,
  "lattice": [[2.151, 1.242, 3.512], [-2.151, 1.242, 3.512], [0.000, -2.483, 3.512]],
  "species": ["Ni", "Os", "Os", "Pd"],
  "fractional_positions": [[0.250, 0.250, 0.250], [0.750, 0.750, 0.750], [0.000, 0.000, 0.000], [0.500, 0.500, 0.500]]
}

***

{
  "formula": "Np3Al",
  "functional": "GGA-PBE",
  "state": "relaxed",
  "energy_ev_per_atom": -10.30,
  "crystal_system": "cubic",
  "magmom_total_mub_per_fu": 7.63,
  "e_above_lowest_polymorph_mev_per_atom": 61,
  "volume_a3_per_fu": 79,
  "lattice": [[4.288, 0.000, 0.000], [0.000, 4.288, 0.000], [0.000, 0.000, 4.288]],
  "species": ["Np", "Np", "Np", "Al"],
  "fractional_positions": [[0.000, 0.500, 0.500], [0.500, 0.500, 0.000], [0.500, 0.000, 0.500], [0.000, 0.000, 0.000]]
}